# 1
This record from Alexandria describes a geometry-optimized Pm2Pr7Nd2 structure. The functional is PBE.

For the calculated formation energy, the calculation gives 125 meV per atom. The value obtained for the final energy is -4.65 eV per atom. For the energy above the most stable polymorph in this dataset, the calculation gives 0 meV per atom.

The space group is C2/m (No. 12) and the conventional cell measures 8.701, 11.089 and 8.517 Å, with angles of 90.00, 104.55 and 90.00 degrees. The asymmetric unit holds Pm at (0.000, 0.211, 0.000), Pr at (0.000, 0.500, 0.500), Pr at (0.191, 0.500, 0.970), Pr at (0.201, 0.207, 0.670) and Nd at (0.081, 0.000, 0.322).

***

# 2
This record from Alexandria describes a geometry-optimized Pm3Pr5Nd4 structure. The functional is PBE.

For the calculated formation energy, the calculation gives 192 meV per atom. The value obtained for the final energy is -4.58 eV per atom. For the energy above the most stable polymorph in this dataset, the calculation gives 181 meV per atom.

The space group is C2/m (No. 12) and the conventional cell measures 16.544, 6.123 and 9.520 Å, with angles of 90.00, 116.01 and 90.00 degrees. The asymmetric unit holds Pm at (0.000, 0.000, 0.000), Pm at (0.208, 0.500, 0.226), Pr at (0.000, 0.500, 0.000), Pr at (0.074, 0.000, 0.700), Pr at (0.173, 0.000, 0.388), Nd at (0.083, 0.500, 0.442) and Nd at (0.214, 0.500, 0.878).

***

| no. | DOS(E_F) (states/eV per cell) |
| --- | --- |
| 1 | 35.58 |
| 2 | 40.53 |